# 1
LaPIr3 | PBE | relaxed

* ΔE_f: 1099.4 kJ/mol of formula units
* energy above the most stable polymorph in this dataset: 2548 meV/atom

a = 4.938 Å, b = 4.938 Å, c = 4.938 Å
α = 90.00°, β = 90.00°, γ = 90.00°
Element x y z (fractional)
La 0.000 0.000 0.000
P 0.500 0.500 0.500
Ir 0.000 0.000 0.500
Ir 0.000 0.500 0.000
Ir 0.500 0.000 0.000


# 2
La2P3Ir4Pd | PBE | relaxed

* ΔE_f: -809.7 kJ/mol of formula units

a = 4.162 Å, b = 4.162 Å, c = 10.225 Å
α = 90.00°, β = 90.00°, γ = 90.00°
Element x y z (fractional)
La 0.000 0.500 0.243
La 0.500 0.000 0.757
P 0.000 0.000 0.000
P 0.000 0.500 0.631
P 0.500 0.000 0.369
Ir 0.000 0.000 0.500
Ir 0.000 0.500 0.852
Ir 0.500 0.000 0.148
Ir 0.500 0.500 0.500
Pd 0.500 0.500 0.000


# 3
La2P4Ir3Pt | PBE | relaxed

* ΔE_f: -986.4 kJ/mol of formula units

a = 4.269 Å, b = 4.269 Å, c = 9.584 Å
α = 90.00°, β = 90.00°, γ = 90.00°
Element x y z (fractional)
La 0.000 0.500 0.242
La 0.500 0.000 0.758
P 0.000 0.000 0.000
P 0.000 0.500 0.640
P 0.500 0.000 0.360
P 0.500 0.500 0.000
Ir 0.000 0.500 0.890
Ir 0.500 0.000 0.110
Ir 0.500 0.500 0.500
Pt 0.000 0.000 0.500